Entry 1:
5
Lattice="-4.6689 -0.7442 -0.9496 -0.3067 -2.9384 3.8113 -1.1668 3.7505 2.7976" Properties=species:S:1:pos:R:3 comment="NaMn3Zn PBE relaxed" relative_energy_mev_per_atom=0.0 n_ef_per_ev_cell=4.25 rho_g_cm3=3.75 space_group="Pm-3m (221)" e_form_mev_per_atom=913 pbc="T T T"
Mn -2.3344 -0.3721 -0.4748
Mn -0.5834 1.8752 1.3988
Mn -0.1534 -1.4692 1.9056
Zn 0.0000 0.0000 0.0000
Na -3.0712 0.0339 2.8296

=====

Entry 2:
80
Lattice="-4.9131 13.8489 6.2701 -7.1639 -12.1108 7.5665 15.8349 -1.2888 1.6850" Properties=species:S:1:pos:R:3 comment="Li3Pr12Er5 PBE relaxed" n_ef_per_ev_cell=134.25 rho_g_cm3=5.39 space_group="Ia-3d (230)" e_form_mev_per_atom=900 pbc="T T T"
Pr 10.1651 0.0249 2.9945
Pr -6.0176 5.8066 10.2661
Pr 9.1726 -2.2738 6.0925
Pr -5.4147 2.7231 9.4291
Pr 0.0604 7.5550 4.9784
Pr 4.7292 0.9425 6.5394
Pr -2.1369 -2.7168 11.0484
Pr 7.1115 -8.0034 9.7426
Pr -4.5738 -10.2687 7.3966
Pr -2.6156 -3.0286 3.9722
Pr -4.2856 -4.8260 6.6336
Pr 4.7659 -4.5469 6.9303
Pr -5.8739 -2.2061 7.7225
Pr 4.5811 5.4777 6.9293
Pr -3.3644 -0.4447 5.7984
Pr 1.1820 -2.8409 7.2633
Pr -9.6465 0.1442 12.5393
Pr -1.0080 4.9962 8.5914
Pr 9.7755 -5.3573 5.2555
Pr 1.6402 1.2784 13.2948
Pr 6.7226 -7.5677 6.5440
Pr 5.2382 10.9375 7.1479
Pr -2.3824 4.9683 5.6447
Pr -6.4071 0.4244 12.5271
Pr 6.3735 3.4779 11.5494
Pr 1.0805 -4.2875 11.5805
Pr 5.8948 3.1661 4.4732
Pr 9.6319 2.6555 7.7991
Pr 3.6975 -7.1057 10.5432
Pr 1.5612 1.9007 5.0737
Pr 2.1177 -0.8291 2.2268
Pr -3.3536 8.4527 5.7790
Pr 2.6774 4.7369 3.9411
Pr -1.5027 2.1105 13.2514
Pr 8.3317 10.7181 8.1250
Pr 13.4044 0.3051 2.9823
Pr 3.2121 -7.7822 7.4001
Pr 6.1403 -4.5189 9.8769
Pr 5.2606 -1.6611 2.2702
Pr 2.5760 3.2902 8.2584
Pr -2.9646 8.0170 8.9776
Pr 7.1224 0.8940 9.7232
Pr 8.0436 5.2753 8.8880
Pr 0.5459 8.2316 8.1215
Pr -1.4803 -10.4882 8.3737
Pr -0.9712 -0.4932 8.9822
Pr 2.1967 -1.4514 10.4479
Pr -0.8232 -5.0284 8.5923
Er 1.8790 0.2247 7.7608
Er 5.4119 -1.5552 11.0681
Er 5.9821 -1.8848 5.4581
Er -5.5173 -7.2958 8.3988
Er -1.6540 2.0045 4.4535
Er 3.8069 8.2846 8.4311
Er 5.4609 6.2800 3.9776
Er -0.0490 -7.8353 7.0905
Er -2.2242 2.3341 10.0635
Er 3.0998 3.5819 11.4792
Er 0.0000 0.0000 0.0000
Er 0.6581 -3.1326 4.0425
Er 7.9175 -0.6444 0.8425
Er -3.5820 -6.0554 3.7833
Er 9.1383 2.7129 4.5609
Er 4.3355 -6.6998 4.6258
Er 9.2753 7.7451 7.1228
Er -5.3804 -2.2636 10.9608
Er -2.4565 6.9245 3.1350
Er -6.0385 0.8691 6.9183
Li -7.6925 2.8736 11.3718
Li 2.6815 -4.6953 9.0793
Li 8.1498 -5.2347 7.7710
Li -4.3919 5.6840 7.7506
Li 1.0764 5.1446 6.4423
Li -0.0564 -1.0158 12.3764
Li -1.2357 10.2817 6.8534
Li 11.4504 -2.4243 4.1498
Li 6.1190 3.1474 8.0200
Li -2.3611 -2.6981 7.5016
Li 3.8143 1.4651 3.1452
Li 4.9936 -9.8324 8.6682

=====

Entry 3:
20
Lattice="-8.7030 -2.9328 -2.2302 2.2942 1.2512 -8.3193 2.1897 -7.5834 3.7064" Properties=species:S:1:pos:R:3 comment="PmHo6Er2Tm PBE relaxed" n_ef_per_ev_cell=28.75 rho_g_cm3=8.61 space_group="C2/c (15)" e_form_mev_per_atom=121 pbc="T T T"
Pm -4.3349 -9.5573 1.7265
Pm 0.1158 0.2923 -8.5696
Ho -2.8501 -1.6331 -7.0334
Ho 1.6739 -3.1860 -4.3367
Ho -1.3689 -7.6319 0.1903
Ho -4.6714 -6.2710 0.4336
Ho -2.7003 -6.5710 -2.8401
Ho -5.6549 -3.5554 -8.4699
Ho -0.2626 0.0439 -5.0512
Ho -5.8930 -6.0790 -2.5064
Ho 1.4358 -5.7096 1.6268
Ho -3.9565 -9.3090 -1.7919
Ho 0.4524 -2.9940 -7.2767
Ho -1.5188 -2.6940 -4.0030
Er -3.6308 -3.6676 -1.7476
Er -4.9508 -7.9974 -4.9399
Er 0.7318 -1.2676 -1.9032
Er -0.5883 -5.5974 -5.0955
Tm -4.2758 -4.5686 -5.0642
Tm 0.0568 -4.6965 -1.7789

=====

Entry 4:
6
Lattice="-1.4162 -1.8092 -4.6971 -1.6811 -2.0367 4.5130 -3.6906 2.9738 -0.0327" Properties=species:S:1:pos:R:3 comment="Si2Ag PBE relaxed" relative_energy_mev_per_atom=166.9 e_form_raw_ev_per_atom=0.482 n_ef_per_ev_cell=1.74 rho_g_cm3=5.05 space_group="Cmcm (63)" pbc="T T T"
Si -5.1745 -0.7363 1.7847
Si -5.0624 -0.6400 -2.1130
Si -1.6135 -0.1357 -2.0014
Si -1.7255 -0.2320 1.8963
Ag -3.5103 -2.4695 -0.1619
Ag -3.2777 1.5975 -0.0548

=====

Entry 5:
17
Lattice="7.0198 0.0000 -2.4819 -3.5099 6.0793 -2.4819 0.0000 0.0000 7.4456" Properties=species:S:1:pos:R:3 comment="Sm4Pd12Pt PBE relaxed" n_ef_per_ev_cell=5.11 rho_g_cm3=10.84 space_group="Im-3m (229)" e_form_mev_per_atom=-744 pbc="T T T"
Pt 0.0000 0.0000 0.0000
Pd 0.0000 3.0397 3.7228
Pd -1.0596 1.8352 1.4985
Pd -2.4503 4.2441 3.4653
Pd 2.1191 0.0000 1.4985
Pd 2.6324 1.5198 3.7228
Pd 3.5099 3.0397 -1.2409
Pd 2.4503 4.2441 -3.4653
Pd 1.0596 1.8352 -1.4985
Pd 4.3874 1.5198 1.2409
Pd 0.8775 4.5595 -1.2409
Pd 4.9007 0.0000 3.4653
Pd -0.8775 4.5595 1.2409
Sm 0.0000 0.0000 3.7228
Sm 3.5099 0.0000 -1.2409
Sm -1.7549 3.0397 -1.2409
Sm 1.7549 3.0397 1.2409

=====

Entry 6:
6
Lattice="5.3858 0.0000 0.0000 0.0000 4.5149 -0.7631 0.0000 0.0244 13.8817" Properties=species:S:1:pos:R:3 comment="RbBaTl PBE relaxed" relative_energy_mev_per_atom=0.0 n_ef_per_ev_cell=3.74 rho_g_cm3=4.20 space_group="Cmcm (63)" e_form_mev_per_atom=-222 pbc="T T T"
Rb 4.0394 3.1047 4.6307
Rb 1.3465 1.4347 8.4879
Ba 4.0394 4.2284 11.2793
Ba 1.3465 0.3109 1.8393
Tl 1.3465 2.1084 12.4742
Tl 4.0394 2.4309 0.6444

=====

Entry 7:
10
Lattice="7.2422 0.0000 0.0000 0.0000 7.2422 0.0000 0.0000 0.0000 3.0971" Properties=species:S:1:pos:R:3 comment="Zr2IN2 PBE relaxed" relative_energy_mev_per_atom=891.7 e_form_raw_ev_per_atom=-0.274 n_ef_per_ev_cell=3.44 rho_g_cm3=6.90 space_group="P4/mbm (127)" pbc="T T T"
Zr 4.5882 0.9671 0.0000
Zr 0.9671 2.6540 0.0000
Zr 6.2750 4.5882 0.0000
Zr 2.6540 6.2750 0.0000
N 6.3797 2.7587 1.5486
N 2.7587 0.8624 1.5486
N 0.8624 4.4835 1.5486
N 4.4835 6.3797 1.5486
I 3.6211 3.6211 0.0000
I 0.0000 0.0000 0.0000

=====

Entry 8:
3
Lattice="7.1836 0.0253 0.0000 5.8507 4.1683 0.0000 -6.5172 -2.0968 2.1761" Properties=species:S:1:pos:R:3 comment="CdWBr PBE relaxed" relative_energy_mev_per_atom=240.2 e_form_raw_ev_per_atom=0.749 n_ef_per_ev_cell=2.64 rho_g_cm3=9.63 space_group="I4mm (107)" pbc="T T T"
Br 0.5111 0.1645 0.0000
Cd 3.9332 1.2654 0.0000
W 8.5900 2.7637 0.0000

=====

Entry 9:
4
Lattice="-1.0671 -2.7373 -0.6288 1.5819 1.5061 -2.0630 6.4970 -3.1490 2.6831" Properties=species:S:1:pos:R:3 comment="TaMn PBE relaxed" n_ef_per_ev_cell=4.23 rho_g_cm3=13.01 space_group="P6_3/mmc (194)" e_form_mev_per_atom=240 pbc="T T T"
Mn 2.3232 -0.6956 -0.9142
Mn 4.6887 -3.6846 0.9054
Ta 3.2485 -1.5745 1.3415
Ta 0.0000 0.0000 0.0000

=====

Entry 10:
4
Lattice="-5.4401 -4.6008 4.8560 -3.0822 -4.9344 6.3636 -4.6829 -2.6452 6.7392" Properties=species:S:1:pos:R:3 comment="Be2CdAg PBE relaxed" n_ef_per_ev_cell=1.24 rho_g_cm3=6.79 space_group="R3m (160)" e_form_mev_per_atom=380 pbc="T T T"
Ag -9.7279 -8.9730 13.2298
Be -3.4849 -3.2145 4.7394
Be -13.1022 -12.0854 17.8187
Cd -6.6980 -6.1782 9.1091

=====

Entry 11:
4
Lattice="-2.0368 3.4263 1.8281 -2.7189 0.2160 -3.4337 -0.5253 -4.6771 2.9209" Properties=species:S:1:pos:R:3 comment="Pu2PaGe PBE relaxed" relative_energy_mev_per_atom=13.4 n_ef_per_ev_cell=9.23 rho_g_cm3=14.89 space_group="I4/mmm (139)" e_form_mev_per_atom=-236 pbc="T T T"
Pu -2.4703 0.2852 1.9727
Pu -2.8108 -1.3200 -0.6574
Ge -2.3779 1.8211 -0.8028
Pa 0.0000 0.0000 0.0000

=====

Entry 12:
6
Lattice="0.0000 3.6949 3.6949 3.6949 0.0000 3.6949 3.6949 3.6949 0.0000" Properties=species:S:1:pos:R:3 comment="Cu2Te PBE relaxed" e_form_raw_ev_per_atom=0.243 n_ef_per_ev_cell=2.23 rho_g_cm3=8.38 space_group="Fd-3m (227)" pbc="T T T"
Cu 2.7712 0.9237 2.7712
Cu 2.7712 2.7712 0.9237
Cu 0.9237 2.7712 2.7712
Cu 0.9237 0.9237 0.9237
Te 5.5424 5.5424 5.5424
Te 3.6949 3.6949 3.6949

=====

Number 1: magnetization 12.5 μB/f.u.. Number 2: magnetization 0.0 μB/f.u.. Number 3: magnetization 0.0 μB/f.u.. Number 4: magnetization 0.0 μB/f.u.. Number 5: magnetization 0.0 μB/f.u.. Number 6: magnetization 0.0 μB/f.u.. Number 7: magnetization 0.0 μB/f.u.. Number 8: magnetization 0.0 μB/f.u.. Number 9: magnetization 0.0 μB/f.u.. Number 10: magnetization 0.0 μB/f.u.. Number 11: magnetization 10.4 μB/f.u.. Number 12: magnetization 0.0 μB/f.u..